Density functional theory data (PBE) for CaBe2 after structural relaxation.

Unit cell a=2.7039 b=19.5885 c=3.8076 alpha=90.00 beta=90.00 gamma=90.00
Space group Cmcm (No. 63)
Inequivalent atoms, fractional coordinates:
1 Ca 0.0000 0.1155 0.2500 (multiplicity 4)
2 Be 0.0000 0.2426 0.7500 (multiplicity 4)
3 Be 0.0000 0.4805 0.2500 (multiplicity 4)

Calculated values
**Distance to the lowest polymorph of the same formula**: 1.14 eV per formula unit
**Energy of formation from the pure elements**: 0.56 eV per atom
**Total DFT energy (no corrections)**: -2.588 eV per atom
**Mass density**: 1.9 g/cm³